one | RbGa2Si2 | PBE-GGA | relaxed Values from VASP.

Values from the calculation:
Its crystal system is tetragonal. For the total magnetization, the calculation gives 0.0 μB/cell. The value obtained for the density of states at the Fermi level is 1.9 states/eV/cell.

The structure in Quantum ESPRESSO input format:
```
&SYSTEM
  ibrav = 0, nat = 10, ntyp = 3
/
ATOMIC_SPECIES
Rb 85.47 Rb.upf
Ga 69.72 Ga.upf
Si 28.09 Si.upf
CELL_PARAMETERS angstrom
4.697 0.000 0.000
0.000 4.697 0.000
0.000 0.000 9.938
ATOMIC_POSITIONS crystal
Rb 0.000 0.000 0.000
Rb 0.500 0.500 0.500
Ga 0.000 0.500 0.250
Ga 0.000 0.500 0.750
Ga 0.500 0.000 0.250
Ga 0.500 0.000 0.750
Si 0.000 0.000 0.376
Si 0.000 0.000 0.624
Si 0.500 0.500 0.124
Si 0.500 0.500 0.876
```



two | RbGa2Si2 | PBE-GGA | relaxed Values from VASP.

Values from the calculation:
Its crystal system is tetragonal. For the total magnetization, the calculation gives 0.0 μB/cell. The value obtained for the density of states at the Fermi level is 2.5 states/eV/cell.

The structure in Quantum ESPRESSO input format:
```
&SYSTEM
  ibrav = 0, nat = 10, ntyp = 3
/
ATOMIC_SPECIES
Rb 85.47 Rb.upf
Ga 69.72 Ga.upf
Si 28.09 Si.upf
CELL_PARAMETERS angstrom
8.634 0.000 0.000
0.000 8.634 0.000
0.000 0.000 3.129
ATOMIC_POSITIONS crystal
Rb 0.000 0.000 0.000
Rb 0.500 0.500 0.000
Ga 0.146 0.354 0.500
Ga 0.354 0.854 0.500
Ga 0.646 0.146 0.500
Ga 0.854 0.646 0.500
Si 0.109 0.609 0.000
Si 0.391 0.109 0.000
Si 0.609 0.891 0.000
Si 0.891 0.391 0.000
```



Most stable one: one, least stable one: two.



one | RbGaSi3 | PBE-GGA | relaxed Values from VASP.

Values from the calculation:
Its crystal system is cubic. For the total magnetization, the calculation gives 0.0 μB/cell. The value obtained for the density of states at the Fermi level is 3.0 states/eV/cell.

The structure in Quantum ESPRESSO input format:
```
&SYSTEM
  ibrav = 0, nat = 5, ntyp = 3
/
ATOMIC_SPECIES
Rb 85.47 Rb.upf
Ga 69.72 Ga.upf
Si 28.09 Si.upf
CELL_PARAMETERS angstrom
5.056 0.000 0.000
0.000 5.056 0.000
0.000 0.000 5.056
ATOMIC_POSITIONS crystal
Rb 0.000 0.000 0.000
Ga 0.500 0.500 0.500
Si 0.000 0.500 0.500
Si 0.500 0.000 0.500
Si 0.500 0.500 0.000
```



two | RbGaSi3 | PBE-GGA | relaxed Values from VASP.

Values from the calculation:
Its crystal system is cubic. For the total magnetization, the calculation gives 0.0 μB/cell. The value obtained for the density of states at the Fermi level is 5.7 states/eV/cell.

The structure in Quantum ESPRESSO input format:
```
&SYSTEM
  ibrav = 0, nat = 5, ntyp = 3
/
ATOMIC_SPECIES
Rb 85.47 Rb.upf
Ga 69.72 Ga.upf
Si 28.09 Si.upf
CELL_PARAMETERS angstrom
5.624 0.000 0.000
0.000 5.624 0.000
0.000 0.000 5.624
ATOMIC_POSITIONS crystal
Rb 0.000 0.000 0.000
Ga 0.500 0.500 0.500
Si 0.000 0.000 0.500
Si 0.000 0.500 0.000
Si 0.500 0.000 0.000
```



Most stable one: one, least stable one: two.



one | Rb2Ga2Sn | PBE-GGA | relaxed Values from VASP.

Values from the calculation:
Its crystal system is tetragonal. For the total magnetization, the calculation gives 0.0 μB/cell. The value obtained for the density of states at the Fermi level is 9.0 states/eV/cell.

The structure in Quantum ESPRESSO input format:
```
&SYSTEM
  ibrav = 0, nat = 10, ntyp = 3
/
ATOMIC_SPECIES
Rb 85.47 Rb.upf
Ga 69.72 Ga.upf
Sn 118.71 Sn.upf
CELL_PARAMETERS angstrom
7.447 0.000 0.000
0.000 7.447 0.000
0.000 0.000 6.053
ATOMIC_POSITIONS crystal
Rb 0.188 0.312 0.000
Rb 0.312 0.812 0.000
Rb 0.688 0.188 0.000
Rb 0.812 0.688 0.000
Ga 0.123 0.623 0.500
Ga 0.377 0.123 0.500
Ga 0.623 0.877 0.500
Ga 0.877 0.377 0.500
Sn 0.000 0.000 0.500
Sn 0.500 0.500 0.500
```



two | Rb2Ga2Sn | PBE-GGA | relaxed Values from VASP.

Values from the calculation:
Its crystal system is monoclinic. For the total magnetization, the calculation gives 0.0 μB/cell. The value obtained for the density of states at the Fermi level is 0.6 states/eV/cell.

The structure in Quantum ESPRESSO input format:
```
&SYSTEM
  ibrav = 0, nat = 10, ntyp = 3
/
ATOMIC_SPECIES
Rb 85.47 Rb.upf
Ga 69.72 Ga.upf
Sn 118.71 Sn.upf
CELL_PARAMETERS angstrom
4.445 -6.466 0.000
4.445 6.466 0.000
-4.414 0.000 7.588
ATOMIC_POSITIONS crystal
Rb 0.073 0.378 0.264
Rb 0.378 0.073 0.264
Rb 0.622 0.927 0.736
Rb 0.927 0.622 0.736
Ga 0.194 0.194 0.892
Ga 0.393 0.393 0.690
Ga 0.607 0.607 0.310
Ga 0.806 0.806 0.108
Sn 0.383 0.617 0.000
Sn 0.617 0.383 0.000
```



Most stable one: two, least stable one: one.



one | RbGaSn3 | PBE-GGA | relaxed Values from VASP.

Values from the calculation:
Its crystal system is cubic. For the total magnetization, the calculation gives 0.0 μB/cell. The value obtained for the density of states at the Fermi level is 2.8 states/eV/cell.

The structure in Quantum ESPRESSO input format:
```
&SYSTEM
  ibrav = 0, nat = 5, ntyp = 3
/
ATOMIC_SPECIES
Rb 85.47 Rb.upf
Ga 69.72 Ga.upf
Sn 118.71 Sn.upf
CELL_PARAMETERS angstrom
5.569 0.000 0.000
0.000 5.569 0.000
0.000 0.000 5.569
ATOMIC_POSITIONS crystal
Rb 0.000 0.000 0.000
Ga 0.500 0.500 0.500
Sn 0.000 0.500 0.500
Sn 0.500 0.000 0.500
Sn 0.500 0.500 0.000
```



two | RbGaSn3 | PBE-GGA | relaxed Values from VASP.

Values from the calculation:
Its crystal system is cubic. For the total magnetization, the calculation gives 0.0 μB/cell. The value obtained for the density of states at the Fermi level is 3.6 states/eV/cell.

The structure in Quantum ESPRESSO input format:
```
&SYSTEM
  ibrav = 0, nat = 5, ntyp = 3
/
ATOMIC_SPECIES
Rb 85.47 Rb.upf
Ga 69.72 Ga.upf
Sn 118.71 Sn.upf
CELL_PARAMETERS angstrom
6.100 0.000 0.000
0.000 6.100 0.000
0.000 0.000 6.100
ATOMIC_POSITIONS crystal
Rb 0.000 0.000 0.000
Ga 0.500 0.500 0.500
Sn 0.000 0.000 0.500
Sn 0.000 0.500 0.000
Sn 0.500 0.000 0.000
```



three | RbGaSn3 | PBE-GGA | relaxed Values from VASP.

Values from the calculation:
Its crystal system is tetragonal. For the total magnetization, the calculation gives 0.0 μB/cell. The value obtained for the density of states at the Fermi level is 3.7 states/eV/cell.

The structure in Quantum ESPRESSO input format:
```
&SYSTEM
  ibrav = 0, nat = 10, ntyp = 3
/
ATOMIC_SPECIES
Rb 85.47 Rb.upf
Ga 69.72 Ga.upf
Sn 118.71 Sn.upf
CELL_PARAMETERS angstrom
5.267 0.000 0.000
0.000 5.267 0.000
0.000 0.000 11.153
ATOMIC_POSITIONS crystal
Rb 0.000 0.000 0.000
Rb 0.500 0.500 0.500
Ga 0.000 0.000 0.637
Ga 0.500 0.500 0.137
Sn 0.000 0.000 0.387
Sn 0.000 0.500 0.247
Sn 0.000 0.500 0.747
Sn 0.500 0.000 0.247
Sn 0.500 0.000 0.747
Sn 0.500 0.500 0.887
```



Most stable one: three, least stable one: two.



one | Rb2GaSn2 | PBE-GGA | relaxed Values from VASP.

Values from the calculation:
Its crystal system is tetragonal. For the total magnetization, the calculation gives 0.0 μB/cell. The value obtained for the density of states at the Fermi level is 6.2 states/eV/cell.

The structure in Quantum ESPRESSO input format:
```
&SYSTEM
  ibrav = 0, nat = 10, ntyp = 3
/
ATOMIC_SPECIES
Rb 85.47 Rb.upf
Ga 69.72 Ga.upf
Sn 118.71 Sn.upf
CELL_PARAMETERS angstrom
10.625 0.000 0.000
0.000 10.625 0.000
0.000 0.000 3.532
ATOMIC_POSITIONS crystal
Rb 0.201 0.299 0.000
Rb 0.299 0.799 0.000
Rb 0.701 0.201 0.000
Rb 0.799 0.701 0.000
Ga 0.000 0.000 0.500
Ga 0.500 0.500 0.500
Sn 0.094 0.594 0.500
Sn 0.406 0.094 0.500
Sn 0.594 0.906 0.500
Sn 0.906 0.406 0.500
```



two | Rb2GaSn2 | PBE-GGA | relaxed Values from VASP.

Values from the calculation:
Its crystal system is orthorhombic. For the total magnetization, the calculation gives 0.0 μB/cell. The value obtained for the density of states at the Fermi level is 4.1 states/eV/cell.

The structure in Quantum ESPRESSO input format:
```
&SYSTEM
  ibrav = 0, nat = 10, ntyp = 3
/
ATOMIC_SPECIES
Rb 85.47 Rb.upf
Ga 69.72 Ga.upf
Sn 118.71 Sn.upf
CELL_PARAMETERS angstrom
2.176 -6.921 0.000
2.176 6.921 0.000
0.000 0.000 13.672
ATOMIC_POSITIONS crystal
Rb 0.102 0.898 0.500
Rb 0.349 0.651 0.689
Rb 0.651 0.349 0.189
Rb 0.898 0.102 0.000
Ga 0.318 0.682 0.321
Ga 0.682 0.318 0.821
Sn 0.058 0.942 0.773
Sn 0.171 0.829 0.955
Sn 0.829 0.171 0.455
Sn 0.942 0.058 0.273
```



Most stable one: two, least stable one: one.



one | RbGaSn4 | PBE-GGA | relaxed Values from VASP.

Values from the calculation:
Its crystal system is cubic. For the total magnetization, the calculation gives 0.0 μB/cell. The value obtained for the density of states at the Fermi level is 5.7 states/eV/cell.

The structure in Quantum ESPRESSO input format:
```
&SYSTEM
  ibrav = 0, nat = 6, ntyp = 3
/
ATOMIC_SPECIES
Rb 85.47 Rb.upf
Ga 69.72 Ga.upf
Sn 118.71 Sn.upf
CELL_PARAMETERS angstrom
0.000 4.506 4.506
4.506 0.000 4.506
4.506 4.506 0.000
ATOMIC_POSITIONS crystal
Rb 0.000 0.000 0.000
Ga 0.750 0.750 0.750
Sn 0.375 0.375 0.375
Sn 0.375 0.375 0.874
Sn 0.375 0.874 0.375
Sn 0.874 0.375 0.375
```



two | RbGaSn4 | PBE-GGA | relaxed Values from VASP.

Values from the calculation:
Its crystal system is orthorhombic. For the total magnetization, the calculation gives 0.0 μB/cell. The value obtained for the density of states at the Fermi level is 5.3 states/eV/cell.

The structure in Quantum ESPRESSO input format:
```
&SYSTEM
  ibrav = 0, nat = 12, ntyp = 3
/
ATOMIC_SPECIES
Rb 85.47 Rb.upf
Ga 69.72 Ga.upf
Sn 118.71 Sn.upf
CELL_PARAMETERS angstrom
13.166 0.000 0.000
0.000 6.790 2.123
0.000 -6.790 2.123
ATOMIC_POSITIONS crystal
Rb 0.000 0.000 0.000
Rb 0.500 0.000 0.000
Ga 0.250 0.205 0.798
Ga 0.750 0.798 0.205
Sn 0.083 0.716 0.282
Sn 0.250 0.551 0.454
Sn 0.250 0.870 0.136
Sn 0.417 0.716 0.282
Sn 0.583 0.282 0.716
Sn 0.750 0.136 0.870
Sn 0.750 0.454 0.551
Sn 0.917 0.282 0.716
```



three | RbGaSn4 | PBE-GGA | relaxed Values from VASP.

Values from the calculation:
Its crystal system is orthorhombic. For the total magnetization, the calculation gives 0.0 μB/cell. The value obtained for the density of states at the Fermi level is 5.5 states/eV/cell.

The structure in Quantum ESPRESSO input format:
```
&SYSTEM
  ibrav = 0, nat = 12, ntyp = 3
/
ATOMIC_SPECIES
Rb 85.47 Rb.upf
Ga 69.72 Ga.upf
Sn 118.71 Sn.upf
CELL_PARAMETERS angstrom
2.859 -8.075 0.000
2.859 8.075 0.000
0.000 0.000 8.188
ATOMIC_POSITIONS crystal
Rb 0.104 0.896 0.750
Rb 0.896 0.104 0.250
Ga 0.374 0.626 0.750
Ga 0.626 0.374 0.250
Sn 0.114 0.886 0.250
Sn 0.281 0.719 0.058
Sn 0.281 0.719 0.442
Sn 0.500 0.500 0.000
Sn 0.500 0.500 0.500
Sn 0.719 0.281 0.558
Sn 0.719 0.281 0.942
Sn 0.886 0.114 0.750
```



Most stable one: two, least stable one: one.